1.
Compound: AlMoW
Source: the Alexandria database
Functional: PBE
Structure: relaxed

Values from the calculation:
V = 15.68 Å³/atom
polymorph energy (0 for the lowest one) = 200 meV per atom
space group = C2/m (12)
size of the total moment = 0.00 μB/cell

Cell: 2.689 5.383 6.965 Å, 76.94 78.87 75.54°
Fractional positions:
W  0.887  0.387  0.839
W  0.113  0.613  0.161
Mo  0.634  0.255  0.478
Mo  0.366  0.745  0.522
Al  0.628  0.912  0.832
Al  0.372  0.088  0.168

=====

2.
Compound: Al2MoW
Source: the Alexandria database
Functional: PBE
Structure: relaxed

Values from the calculation:
V = 15.29 Å³/atom
polymorph energy (0 for the lowest one) = 367 meV per atom
space group = Fm-3m (225)
size of the total moment = 0.00 μB/cell

Cell: 4.422 4.422 4.422 Å, 60.00 60.00 60.00°
Fractional positions:
Mo  0.000  0.000  0.000
Al  0.750  0.750  0.750
Al  0.250  0.250  0.250
W  0.500  0.500  0.500

=====

3.
Compound: Al2MoW
Source: the Alexandria database
Functional: PBE
Structure: relaxed

Values from the calculation:
V = 15.39 Å³/atom
polymorph energy (0 for the lowest one) = 115 meV per atom
space group = Pmmm (47)
size of the total moment = 0.00 μB/cell

Cell: 3.297 4.376 4.266 Å, 90.00 90.00 90.00°
Fractional positions:
Al  0.000  0.000  0.000
Al  0.500  0.500  0.000
Mo  0.500  0.000  0.500
W  0.000  0.500  0.500

=====

4.
Compound: Al2MoW
Source: the Alexandria database
Functional: PBE
Structure: relaxed

Values from the calculation:
V = 15.36 Å³/atom
polymorph energy (0 for the lowest one) = 79 meV per atom
space group = Pm (6)
size of the total moment = 0.00 μB/cell

Cell: 4.497 2.744 5.016 Å, 83.00 90.00 90.00°
Fractional positions:
Al  0.000  0.089  0.988
Al  0.500  0.162  0.262
W  0.500  0.709  0.761
Mo  0.000  0.540  0.489

=====

5.
Compound: AlMoW
Source: the Alexandria database
Functional: PBE
Structure: relaxed

Values from the calculation:
V = 15.72 Å³/atom
polymorph energy (0 for the lowest one) = 12 meV per atom
space group = I4mm (107)
size of the total moment = 0.00 μB/cell

Cell: 4.995 4.995 4.995 Å, 141.88 141.88 55.01°
Fractional positions:
Al  0.000  0.000  0.000
W  0.676  0.676  0.000
Mo  0.325  0.325  0.000

=====

6.
Compound: Al2MoW
Source: the Alexandria database
Functional: PBE
Structure: relaxed

Values from the calculation:
V = 15.45 Å³/atom
polymorph energy (0 for the lowest one) = 175 meV per atom
space group = Pmmm (47)
size of the total moment = 0.00 μB/cell

Cell: 2.712 4.194 5.434 Å, 90.00 90.00 90.00°
Fractional positions:
W  0.500  0.500  0.750
Mo  0.500  0.500  0.250
Al  0.000  0.000  0.000
Al  0.000  0.000  0.500